(1)
A relaxed structure of Ta2SiRh. Source: Alexandria via LeMat-Bulk, functional GGA-PBE.

For the density of states at the Fermi level, the calculation gives 0.913 states/eV/atom. The theoretical density comes out at 12700 kg/m³. For the formation energy without anion corrections, the calculation gives -0.168 eV per atom. The crystal system is trigonal. The total energy is -9.29 eV per atom.

The structure belongs to space group R3m (No. 160, hexagonal axes); the cell edges are 2.8983, 2.8983 and 26.5772 Å and the angles 90.00°, 90.00° and 120.00°. Symmetry generates all atoms from Ta at (0.0000, 0.0000, 0.0000), Ta at (0.0000, 0.0000, 0.2375), Si at (0.0000, 0.0000, 0.4883) and Rh at (0.0000, 0.0000, 0.7522).

(2)
A relaxed structure of Ta2SiRh. Source: Alexandria via LeMat-Bulk, functional GGA-PBE.

For the density of states at the Fermi level, the calculation gives 1.593 states/eV/atom. The theoretical density comes out at 12903 kg/m³. For the formation energy without anion corrections, the calculation gives -0.085 eV per atom. The crystal system is cubic. The total energy is -9.20 eV per atom.

The structure belongs to space group F-43m (No. 216); the cell edges are 6.3307, 6.3307 and 6.3307 Å and the angles 90.00°, 90.00° and 90.00°. Symmetry generates all atoms from Ta at (0.0000, 0.0000, 0.0000), Ta at (0.2500, 0.2500, 0.2500), Si at (0.2500, 0.2500, 0.7500) and Rh at (0.0000, 0.0000, 0.5000).

(3)
A relaxed structure of TaSi2Rh. Source: Alexandria via LeMat-Bulk, functional GGA-PBE.

For the density of states at the Fermi level, the calculation gives 0.749 states/eV/atom. The theoretical density comes out at 9304 kg/m³. For the formation energy without anion corrections, the calculation gives -0.143 eV per atom. The crystal system is tetragonal. The total energy is -7.66 eV per atom.

The structure belongs to space group P4mm (No. 99); the cell edges are 2.8036, 2.8036 and 7.7206 Å and the angles 90.00°, 90.00° and 90.00°. Symmetry generates all atoms from Ta at (0.0000, 0.0000, 0.0000), Si at (0.0000, 0.0000, 0.4674), Si at (0.5000, 0.5000, 0.7487) and Rh at (0.5000, 0.5000, 0.2659).

(4)
A relaxed structure of Ta3SiRh. Source: Alexandria via LeMat-Bulk, functional GGA-PBE.

For the density of states at the Fermi level, the calculation gives 0.697 states/eV/atom. The theoretical density comes out at 10295 kg/m³. The value obtained for the polymorph energy (0 for the lowest one) is 0.418 eV/atom. For the formation energy without anion corrections, the calculation gives 1.198 eV per atom. The crystal system is cubic. The total energy is -8.47 eV per atom.

The structure belongs to space group Pm-3m (No. 221); the cell edges are 4.7722, 4.7722 and 4.7722 Å and the angles 90.00°, 90.00° and 90.00°. Symmetry generates all atoms from Ta at (0.0000, 0.0000, 0.5000), Si at (0.5000, 0.5000, 0.5000) and Rh at (0.0000, 0.0000, 0.0000).

(5)
A relaxed structure of TaSiRh4. Source: Alexandria via LeMat-Bulk, functional GGA-PBE.

For the density of states at the Fermi level, the calculation gives 1.197 states/eV/atom. The theoretical density comes out at 11097 kg/m³. For the formation energy without anion corrections, the calculation gives 0.043 eV per atom. The crystal system is cubic. The total energy is -7.74 eV per atom.

The structure belongs to space group F-43m (No. 216); the cell edges are 7.1887, 7.1887 and 7.1887 Å and the angles 90.00°, 90.00° and 90.00°. Symmetry generates all atoms from Ta at (0.0000, 0.0000, 0.0000), Si at (0.2500, 0.2500, 0.2500) and Rh at (0.1247, 0.1247, 0.6247).

(6)
A relaxed structure of TaSi2Rh. Source: Alexandria via LeMat-Bulk, functional GGA-PBE.

For the density of states at the Fermi level, the calculation gives 0.808 states/eV/atom. The theoretical density comes out at 8647 kg/m³. For the formation energy without anion corrections, the calculation gives -0.051 eV per atom. The crystal system is tetragonal. The total energy is -7.56 eV per atom.

The structure belongs to space group I-42d (No. 122); the cell edges are 3.8858, 3.8858 and 17.2988 Å and the angles 90.00°, 90.00° and 90.00°. Symmetry generates all atoms from Ta at (0.0000, 0.0000, 0.0000), Si at (0.2101, 0.2500, 0.6250) and Rh at (0.0000, 0.0000, 0.5000).

(7)
A relaxed structure of TaSiRh2. Source: Alexandria via LeMat-Bulk, functional GGA-PBE.

For the density of states at the Fermi level, the calculation gives 0.957 states/eV/atom. The theoretical density comes out at 11572 kg/m³. For the formation energy without anion corrections, the calculation gives -0.362 eV per atom. The crystal system is tetragonal. The total energy is -8.36 eV per atom.

The structure belongs to space group P4/mmm (No. 123); the cell edges are 4.5705, 4.5705 and 2.8498 Å and the angles 90.00°, 90.00° and 90.00°. Symmetry generates all atoms from Ta at (0.0000, 0.0000, 0.0000), Si at (0.5000, 0.5000, 0.0000) and Rh at (0.0000, 0.5000, 0.5000).

(8)
A relaxed structure of Ta2SiRh. Source: Alexandria via LeMat-Bulk, functional GGA-PBE.

For the density of states at the Fermi level, the calculation gives 0.862 states/eV/atom. The theoretical density comes out at 11936 kg/m³. For the formation energy without anion corrections, the calculation gives 0.057 eV per atom. The crystal system is tetragonal. The total energy is -9.06 eV per atom.

The structure belongs to space group I-42d (No. 122); the cell edges are 7.0438, 7.0438 and 5.5280 Å and the angles 90.00°, 90.00° and 90.00°. Symmetry generates all atoms from Ta at (0.2495, 0.7500, 0.1250), Si at (0.0000, 0.0000, 0.5000) and Rh at (0.0000, 0.0000, 0.0000).

(9)
A relaxed structure of Ta2SiRh2. Source: Alexandria via LeMat-Bulk, functional GGA-PBE.

For the density of states at the Fermi level, the calculation gives 0.249 states/eV/atom. The theoretical density comes out at 11997 kg/m³. For the formation energy without anion corrections, the calculation gives -0.241 eV per atom. The crystal system is tetragonal. The total energy is -9.01 eV per atom.

The structure belongs to space group P4/mbm (No. 127); the cell edges are 7.4724, 7.4724 and 2.9537 Å and the angles 90.00°, 90.00° and 90.00°. Symmetry generates all atoms from Ta at (0.1671, 0.3329, 0.0000), Si at (0.0000, 0.0000, 0.5000) and Rh at (0.1297, 0.6297, 0.5000).

(10)
A relaxed structure of TaSi2Rh. Source: Alexandria via LeMat-Bulk, functional GGA-PBE.

For the density of states at the Fermi level, the calculation gives 0.625 states/eV/atom. The theoretical density comes out at 9535 kg/m³. For the formation energy without anion corrections, the calculation gives -0.376 eV per atom. The crystal system is orthorhombic. The total energy is -7.89 eV per atom.

The structure belongs to space group Pmm2 (No. 25); the cell edges are 2.8055, 4.3236 and 4.8816 Å and the angles 90.00°, 90.00° and 90.00°. Symmetry generates all atoms from Ta at (0.0000, 0.0000, 0.0000), Si at (0.5000, 0.0000, 0.4911), Si at (0.5000, 0.5000, 0.2218) and Rh at (0.5000, 0.5000, 0.7231).

(11)
A relaxed structure of Ta2SiRh. Source: Alexandria via LeMat-Bulk, functional GGA-PBE.

For the density of states at the Fermi level, the calculation gives 0.703 states/eV/atom. The theoretical density comes out at 12791 kg/m³. For the formation energy without anion corrections, the calculation gives -0.320 eV per atom. The crystal system is orthorhombic. The total energy is -9.44 eV per atom.

The structure belongs to space group Pmm2 (No. 25); the cell edges are 3.1552, 3.4649 and 5.8530 Å and the angles 90.00°, 90.00° and 90.00°. Symmetry generates all atoms from Ta at (0.0000, 0.0000, 0.0000), Ta at (0.5000, 0.5000, 0.2772), Si at (0.5000, 0.5000, 0.7757) and Rh at (0.0000, 0.0000, 0.5316).

(12)
A relaxed structure of TaSiRh2. Source: Alexandria via LeMat-Bulk, functional GGA-PBE.

For the density of states at the Fermi level, the calculation gives 0.663 states/eV/atom. The theoretical density comes out at 11557 kg/m³. For the formation energy without anion corrections, the calculation gives -0.493 eV per atom. The crystal system is orthorhombic. The total energy is -8.49 eV per atom.

The structure belongs to space group Amm2 (No. 38); the cell edges are 4.1544, 2.8538 and 10.0555 Å and the angles 90.00°, 90.00° and 90.00°. Symmetry generates all atoms from Ta at (0.0000, 0.0000, 0.0000), Si at (0.5000, 0.0000, 0.3722), Rh at (0.0000, 0.0000, 0.2614) and Rh at (0.5000, 0.0000, 0.6226).

(13)
A relaxed structure of TaSiRh2. Source: Alexandria via LeMat-Bulk, functional GGA-PBE.

For the density of states at the Fermi level, the calculation gives 1.013 states/eV/atom. The theoretical density comes out at 11440 kg/m³. For the formation energy without anion corrections, the calculation gives -0.304 eV per atom. The crystal system is trigonal. The total energy is -8.30 eV per atom.

The structure belongs to space group R3m (No. 160, hexagonal axes); the cell edges are 2.8635, 2.8635 and 25.4395 Å and the angles 90.00°, 90.00° and 120.00°. Symmetry generates all atoms from Ta at (0.0000, 0.0000, 0.0000), Si at (0.0000, 0.0000, 0.7542), Rh at (0.0000, 0.0000, 0.2503) and Rh at (0.0000, 0.0000, 0.4905).

(14)
A relaxed structure of TaSi2Rh. Source: Alexandria via LeMat-Bulk, functional GGA-PBE.

For the density of states at the Fermi level, the calculation gives 0.399 states/eV/atom. The theoretical density comes out at 9458 kg/m³. For the formation energy without anion corrections, the calculation gives -0.356 eV per atom. The crystal system is monoclinic. The total energy is -7.87 eV per atom.

The structure belongs to space group C2/m (No. 12); the cell edges are 7.7700, 2.8554 and 5.4800 Å and the angles 90.00°, 100.89° and 90.00°. Symmetry generates all atoms from Ta at (0.0000, 0.0000, 0.0000), Si at (0.2459, 0.0000, 0.7122) and Rh at (0.0000, 0.5000, 0.5000).

(15)
A relaxed structure of Ta2SiRh. Source: Alexandria via LeMat-Bulk, functional GGA-PBE.

For the density of states at the Fermi level, the calculation gives 1.251 states/eV/atom. The theoretical density comes out at 12761 kg/m³. For the formation energy without anion corrections, the calculation gives -0.150 eV per atom. The crystal system is trigonal. The total energy is -9.27 eV per atom.

The structure belongs to space group R-3m (No. 166, hexagonal axes); the cell edges are 2.8822, 2.8822 and 26.7469 Å and the angles 90.00°, 90.00° and 120.00°. Symmetry generates all atoms from Ta at (0.0000, 0.0000, 0.2492), Si at (0.0000, 0.0000, 0.5000) and Rh at (0.0000, 0.0000, 0.0000).

(16)
A relaxed structure of TaSi2Rh. Source: Alexandria via LeMat-Bulk, functional GGA-PBE.

For the density of states at the Fermi level, the calculation gives 0.406 states/eV/atom. The theoretical density comes out at 9497 kg/m³. For the formation energy without anion corrections, the calculation gives -0.520 eV per atom. The crystal system is orthorhombic. The total energy is -8.03 eV per atom.

The structure belongs to space group Pmmm (No. 47); the cell edges are 2.9036, 3.8611 and 5.3032 Å and the angles 90.00°, 90.00° and 90.00°. Symmetry generates all atoms from Ta at (0.0000, 0.0000, 0.0000), Si at (0.5000, 0.5000, 0.2397) and Rh at (0.5000, 0.0000, 0.5000).

(17)
A relaxed structure of TaSiRh2. Source: Alexandria via LeMat-Bulk, functional GGA-PBE.

For the density of states at the Fermi level, the calculation gives 0.767 states/eV/atom. The theoretical density comes out at 11689 kg/m³. For the formation energy without anion corrections, the calculation gives -0.570 eV per atom. The crystal system is monoclinic. The total energy is -8.56 eV per atom.

The structure belongs to space group Cm (No. 8); the cell edges are 9.9547, 2.9485 and 4.4673 Å and the angles 90.00°, 115.99° and 90.00°. Symmetry generates all atoms from Ta at (0.0000, 0.0000, 0.0000), Si at (0.2590, 0.0000, 0.7224), Rh at (0.0534, 0.5000, 0.5519) and Rh at (0.2698, 0.5000, 0.2597).

(18)
A relaxed structure of TaSiRh2. Source: Alexandria via LeMat-Bulk, functional GGA-PBE.

For the density of states at the Fermi level, the calculation gives 0.647 states/eV/atom. The theoretical density comes out at 11695 kg/m³. For the formation energy without anion corrections, the calculation gives -0.467 eV per atom. The crystal system is tetragonal. The total energy is -8.46 eV per atom.

The structure belongs to space group P4/mmm (No. 123); the cell edges are 3.9418, 3.9418 and 3.7908 Å and the angles 90.00°, 90.00° and 90.00°. Symmetry generates all atoms from Ta at (0.0000, 0.0000, 0.0000), Si at (0.5000, 0.5000, 0.0000) and Rh at (0.0000, 0.5000, 0.5000).

(19)
A relaxed structure of Ta2SiRh. Source: Alexandria via LeMat-Bulk, functional GGA-PBE.

For the density of states at the Fermi level, the calculation gives 0.693 states/eV/atom. The theoretical density comes out at 12964 kg/m³. For the formation energy without anion corrections, the calculation gives -0.366 eV per atom. The crystal system is monoclinic. The total energy is -9.49 eV per atom.

The structure belongs to space group C2/m (No. 12); the cell edges are 5.5324, 7.9499 and 2.8711 Å and the angles 90.00°, 90.81° and 90.00°. Symmetry generates all atoms from Ta at (0.2500, 0.2500, 0.0000), Si at (0.0000, 0.0000, 0.5000) and Rh at (0.0000, 0.5000, 0.5000).

(20)
A relaxed structure of Ta4SiRh. Source: Alexandria via LeMat-Bulk, functional GGA-PBE.

For the density of states at the Fermi level, the calculation gives 0.876 states/eV/atom. The theoretical density comes out at 13080 kg/m³. For the formation energy without anion corrections, the calculation gives 0.437 eV per atom. The crystal system is cubic. The total energy is -9.59 eV per atom.

The structure belongs to space group F-43m (No. 216); the cell edges are 7.5715, 7.5715 and 7.5715 Å and the angles 90.00°, 90.00° and 90.00°. Symmetry generates all atoms from Ta at (0.1241, 0.1241, 0.3759), Si at (0.2500, 0.2500, 0.7500) and Rh at (0.0000, 0.0000, 0.0000).